Here is a relaxed structure of SrLiTa2HO7 from OQMD via LeMat-Bulk. Energies are from PBE.

Geometry as POSCAR:
```
SrLiTa2HO7
1.0
5.582 0.000 0.000
0.000 2.768 9.175
0.000 -2.768 9.175
Sr Li Ta H O
2 2 4 2 14
direct
0.250 0.249 0.751
0.750 0.751 0.249
0.000 0.242 0.242
0.500 0.242 0.242
0.250 0.632 0.133
0.250 0.863 0.367
0.750 0.133 0.632
0.750 0.367 0.863
0.250 0.815 0.681
0.750 0.681 0.815
0.000 0.123 0.123
0.000 0.408 0.408
0.000 0.602 0.602
0.000 0.896 0.896
0.250 0.503 0.065
0.250 0.795 0.221
0.250 0.950 0.499
0.500 0.123 0.123
0.500 0.408 0.408
0.500 0.602 0.602
0.500 0.896 0.896
0.750 0.065 0.503
0.750 0.221 0.795
0.750 0.499 0.950
```

Results
For the total DFT energy (no corrections), the calculation gives -97.076 eV per formula unit.

Here is a relaxed structure of Li2H6OsPt from OQMD via LeMat-Bulk. Energies are from PBE.

Geometry as POSCAR:
```
Li2H6OsPt
1.0
0.000 3.455 3.455
3.455 0.000 3.455
3.455 3.455 0.000
Li H Os Pt
2 6 1 1
direct
0.250 0.250 0.250
0.750 0.750 0.750
0.250 0.250 0.750
0.250 0.750 0.250
0.250 0.750 0.750
0.750 0.250 0.250
0.750 0.250 0.750
0.750 0.750 0.250
0.000 0.000 0.000
0.500 0.500 0.500
```

Results
For the total DFT energy (no corrections), the calculation gives -42.255 eV per formula unit.